GdTmNi | GGA-PBE | optimized geometry

abc: 6.689 6.689 6.689
angles: 90.00 90.00 90.00
Space group F-43m (No. 216)
Asymmetric unit:
Gd 0.000 0.000 0.000 (multiplicity 4)
Tm 0.000 0.000 0.500 (multiplicity 4)
Ni 0.250 0.250 0.750 (multiplicity 4)

Results
Density of states at the Fermi level, states/eV per cell: 11.62
Total energy, eV per formula unit: -24.83
Energy of formation from the pure elements, kJ/mol of formula units: -48
Offset from the most stable computed form, meV/atom: 87


GdTm3Ni | GGA-PBE | optimized geometry

abc: 5.236 5.236 5.236
angles: 90.00 90.00 90.00
Space group Pm-3m (No. 221)
Asymmetric unit:
Gd 0.000 0.000 0.000 (multiplicity 1)
Tm 0.000 0.500 0.500 (multiplicity 3)
Ni 0.500 0.500 0.500 (multiplicity 1)

Results
Density of states at the Fermi level, states/eV per cell: 7.67
Total energy, eV per formula unit: -33.75
Energy of formation from the pure elements, kJ/mol of formula units: -46


GdTmNi2 | GGA-PBE | optimized geometry

abc: 4.796 4.796 3.319
angles: 90.00 90.00 90.00
Space group P4/mmm (No. 123)
Asymmetric unit:
Gd 0.000 0.000 0.000 (multiplicity 1)
Tm 0.500 0.500 0.000 (multiplicity 1)
Ni 0.000 0.500 0.500 (multiplicity 2)

Results
Density of states at the Fermi level, states/eV per cell: 2.89
Total energy, eV per formula unit: -31.68
Energy of formation from the pure elements, kJ/mol of formula units: -151
Offset from the most stable computed form, meV/atom: 0


> Which of these has the highest total energy?

GdTmNi


> Which value of density of states at the Fermi level does entry 1 give?

11.62 states/eV per cell


> Which of these has the highest density of states at the Fermi level?

GdTmNi


> density of states at the Fermi level of number 2 (GdTm3Ni)?

7.67 states/eV per cell